No. 1
Compound: TaTiVAs2
Source: Alexandria
Functional: GGA-PBE
Structure: optimized geometry

Cell lengths 4.9350, 4.7383, 4.9350 Å; angles 90.00, 90.00, 90.00 degrees
With the nearest neighbours (Å) after each atom.
Positions (direct):
1 Ti 0.0000 0.5000 0.0000  2 Ta 2.37
2 As 0.0000 0.0000 0.5000  2 Ta 2.47
3 As 0.5000 0.0000 0.0000  2 Ta 2.47
4 V 0.5000 0.5000 0.5000  8 As 3.42, 4 Ti 3.49
5 Ta 0.0000 0.0000 0.0000  2 Ti 2.37, 4 As 2.47

Summary:
- total magnetization (μB/f.u.) = 0.62
- energy (eV/f.u.) = -32.59
- DFT formation energy (meV per atom) = 1114
- calculated density (g/cm3) = 6.182
- DOS at the Fermi energy (states/eV/f.u.) = 5.38

No. 2
Compound: AcNdCo
Source: Alexandria
Functional: GGA-PBE
Structure: optimized geometry

Cell lengths 3.9460, 10.2687, 8.7695 Å; angles 93.33, 90.00, 90.00 degrees
With the nearest neighbours (Å) after each atom.
Positions (direct):
1 Co 0.0000 0.8859 0.5836  3 Nd 2.82-2.98, 1 Co 2.84, 2 Ac 2.87-2.88
2 Co 0.0000 0.1141 0.4164  3 Nd 2.82-2.98, 1 Co 2.84, 2 Ac 2.87-2.88
3 Co 0.5000 0.3859 0.0836  3 Nd 2.82-2.98, 1 Co 2.84, 2 Ac 2.87-2.88
4 Co 0.5000 0.6141 0.9164  3 Nd 2.82-2.98, 1 Co 2.84, 2 Ac 2.87-2.88
5 Nd 0.0000 0.8095 0.9064  3 Co 2.82-2.98
6 Nd 0.5000 0.6905 0.5936  3 Co 2.82-2.98
7 Nd 0.5000 0.3095 0.4064  3 Co 2.82-2.98
8 Nd 0.0000 0.1905 0.0936  3 Co 2.82-2.98
9 Ac 0.0001 0.5700 0.1989  3 Co 2.87-3.22
10 Ac 0.4999 0.0700 0.6989  3 Co 2.87-3.22
11 Ac 0.9999 0.4300 0.8011  3 Co 2.87-3.22
12 Ac 0.5001 0.9300 0.3011  3 Co 2.87-3.22

Summary:
- total magnetization (μB/f.u.) = 0.00
- energy (eV/f.u.) = -16.08
- DFT formation energy (meV per atom) = -34
- calculated density (g/cm3) = 8.054
- DOS at the Fermi energy (states/eV/f.u.) = 3.48

No. 3
Compound: ReNiTe
Source: Alexandria
Functional: GGA-PBE
Structure: optimized geometry

Cell lengths 4.3519, 4.3519, 3.0036 Å; angles 90.00, 90.00, 120.00 degrees
With the nearest neighbours (Å) after each atom.
Positions (direct):
1 Re 0.3333 0.6667 0.4213  3 Te 2.61
2 Te 0.6667 0.3333 0.6560  3 Re 2.61, 3 Ni 2.64
3 Ni 0.0000 0.0000 0.9227  3 Te 2.64, 6 Re 2.92-2.93

Summary:
- raw formation energy (kJ per mole of atoms) = 73.97
- total magnetization (μB/f.u.) = 0.00
- energy (eV/f.u.) = -19.07
- calculated density (g/cm3) = 12.556
- DOS at the Fermi energy (states/eV/f.u.) = 3.66

No. 4
Compound: BaDyCu2S4
Source: Alexandria
Functional: GGA-PBE
Structure: optimized geometry

Cell lengths 6.6231, 6.2798, 6.2798 Å; angles 64.03, 58.17, 58.17 degrees
With the nearest neighbours (Å) after each atom.
Positions (direct):
1 Dy 0.5000 0.5000 0.5000  4 S 2.64
2 Cu 0.7538 0.7462 0.7462  4 S 2.38-2.42
3 Cu 0.2462 0.2538 0.2538  4 S 2.38-2.42
4 S 0.9199 0.5131 0.0825  2 Cu 2.38-2.42, 1 Dy 2.64
5 S 0.0801 0.9175 0.4869  2 Cu 2.38-2.42, 1 Dy 2.64
6 S 0.4845 0.0825 0.5131  2 Cu 2.38-2.42, 1 Dy 2.64
7 S 0.5155 0.4869 0.9175  2 Cu 2.38-2.42, 1 Dy 2.64
8 Ba 0.0000 0.0000 0.0000  8 S 3.15-3.21

Summary:
- raw formation energy (kJ per mole of atoms) = -109.31
- total magnetization (μB/f.u.) = 0.00
- energy (eV/f.u.) = -40.29
- calculated density (g/cm3) = 5.014
- DOS at the Fermi energy (states/eV/f.u.) = 3.12

No. 5
Compound: KRb2I3
Source: Alexandria
Functional: GGA-PBE
Structure: optimized geometry

Cell lengths 5.2000, 7.3803, 9.0332 Å; angles 114.11, 106.73, 90.00 degrees
With the nearest neighbours (Å) after each atom.
Positions (direct):
1 Rb 0.8319 0.8319 0.1638  6 I 3.69-3.74
2 Rb 0.1681 0.1681 0.8362  6 I 3.69-3.74
3 I 0.8398 0.3398 0.1796  2 K 3.61, 4 Rb 3.69-3.74
4 I 0.5000 0.0000 0.5000  2 K 3.69, 4 Rb 3.70
5 I 0.1602 0.6602 0.8204  2 K 3.61, 4 Rb 3.69-3.74
6 K 0.5000 0.5000 0.5000  6 I 3.61-3.69

Summary:
- raw formation energy (kJ per mole of atoms) = -143.94
- total magnetization (μB/f.u.) = 0.00
- energy (eV/f.u.) = -16.63
- calculated density (g/cm3) = 3.267
- DOS at the Fermi energy (states/eV/f.u.) = 0.00

No. 6
Compound: Tm9ThIn2
Source: Alexandria
Functional: GGA-PBE
Structure: optimized geometry

Cell lengths 4.8284, 4.8284, 14.6794 Å; angles 90.00, 90.00, 90.00 degrees
With the nearest neighbours (Å) after each atom.
Positions (direct):
1 Tm 0.0000 0.5000 0.5000  4 In 3.38, 8 Tm 3.38-3.41
2 Tm 0.5000 0.5000 0.6615  8 Tm 3.38-3.44, 4 In 3.41
3 Tm 0.5000 0.5000 0.0000  4 Th 3.41, 8 Tm 3.49
4 Tm 0.5000 0.0000 0.1720  8 Tm 3.41-3.49, 2 In 3.44, 2 Th 3.49
5 Tm 0.5000 0.5000 0.3385  8 Tm 3.38-3.44, 4 In 3.41
6 Tm 0.0000 0.5000 0.1720  8 Tm 3.41-3.49, 2 In 3.44, 2 Th 3.49
7 Tm 0.0000 0.5000 0.8280  8 Tm 3.41-3.49, 2 In 3.44, 2 Th 3.49
8 Tm 0.5000 0.0000 0.5000  4 In 3.38, 8 Tm 3.38-3.41
9 Tm 0.5000 0.0000 0.8280  8 Tm 3.41-3.49, 2 In 3.44, 2 Th 3.49
10 In 0.0000 0.0000 0.6612  12 Tm 3.38-3.44
11 In 0.0000 0.0000 0.3388  12 Tm 3.38-3.44
12 Th 0.0000 0.0000 0.0000  12 Tm 3.41-3.49

Summary:
- total magnetization (μB/f.u.) = 0.01
- energy (eV/f.u.) = -54.89
- DFT formation energy (meV per atom) = -146
- calculated density (g/cm3) = 9.617
- DOS at the Fermi energy (states/eV/f.u.) = 15.80